1.
{
  "formula": "Zn2CrPt",
  "functional": "PBE",
  "state": "optimized geometry",
  "e_form_ev_per_atom": -0.09,
  "vol_a3_per_atom": 14.85,
  "magmom_total_mub_per_fu": 3.15,
  "lattice": [[4.460, 0.000, 0.000], [0.000, 2.758, 0.004], [0.000, 0.264, 4.829]],
  "species": ["Cr", "Pt", "Zn", "Zn"],
  "fractional_positions": [[0.500, 0.250, 0.250], [0.500, 0.750, 0.750], [0.000, 0.938, 0.003], [0.000, 0.562, 0.497]]
}

2.
{
  "formula": "CdSbI2O",
  "functional": "PBE",
  "state": "optimized geometry",
  "vol_a3_per_atom": 29.09,
  "relative_energy_ev_per_atom": 0.381,
  "magmom_total_mub_per_fu": 0.00,
  "lattice": [[6.003, 0.000, 0.000], [0.000, 6.003, 0.000], [0.000, 0.000, 4.036]],
  "species": ["I", "I", "Sb", "O", "Cd"],
  "fractional_positions": [[0.000, 0.500, 0.000], [0.500, 0.000, 0.000], [0.500, 0.500, 0.500], [0.000, 0.000, 0.500], [0.000, 0.000, 0.000]]
}